Record 1
Computed, not measured: CuTe2As after structural relaxation at the PBE level of DFT.

Values from the calculation:
mass density	7.301	Mg/m³
formation energy without anion corrections	549.6	meV per atom
space-group type	No. 216

```
4
Lattice="5.0216 0.0000 0.0000 2.5108 4.3488 0.0000 2.5108 1.4496 4.1001" Properties=species:S:1:pos:R:3 pbc="T T T"
As 5.0216 2.8992 2.0501
Cu 7.5324 4.3488 3.0751
Te 2.5108 1.4496 1.0250
Te 0.0000 0.0000 0.0000
```


Record 2
Computed, not measured: Te2IrIO after structural relaxation at the PBE level of DFT.

Values from the calculation:
mass density	8.244	Mg/m³
energy above the lowest structure with this stoichiometry	0.0	kJ/mol of atoms
formation energy without anion corrections	887.0	meV per atom
space-group type	No. 123

```
5
Lattice="-3.2809 1.8415 -2.2196 -0.1250 -3.4496 -2.6772 -4.1099 -2.7774 3.7707" Properties=species:S:1:pos:R:3 pbc="T T T"
Ir -3.7579 -2.1927 -0.5630
Te -1.6405 0.9208 -1.1098
Te -0.0625 -1.7248 -1.3386
I -2.0549 -1.3887 1.8854
O 0.0000 0.0000 0.0000
```


> What is the formation energy without anion corrections in the second record?

887.0 meV per atom


> What is the formula in the first record?

CuTe2As


> What is the mass density in the second record?

8.244 Mg/m³


> What is the formation energy without anion corrections in the first record?

549.6 meV per atom